Entry from Alexandria: a relaxed structure of B2PbWO (PBE with a Hubbard U).

Unit cell a=4.4195 b=4.4195 c=3.9570 alpha=90.00 beta=90.00 gamma=90.00
Last column: nearest neighbours and their distance in Å.
Positions (direct):
B (0.0000, 0.5000, 0.0000)  2 W 2.21
B (0.5000, 0.0000, 0.0000)  2 W 2.21
Pb (0.0000, 0.0000, 0.5000)  8 B 2.97, 4 O 3.13
W (0.5000, 0.5000, 0.0000)  2 O 1.98, 4 B 2.21
O (0.5000, 0.5000, 0.5000)  2 W 1.98

* energy: -5.308 eV/atom
* SG: No. 123